The following is a GGA+U calculation of NpAl2NiO8 after structural relaxation, from Alexandria.

The calculation puts the volume at 129.13 Å³ per cell. Its mass density is 6.1 Mg/m³. The density of states at the Fermi level is 4.207 states/eV/f.u. The calculation puts the raw total energy at -7.45 eV per atom.

a b c (Å): 4.6506 4.6506 5.9711
angles (deg): 90.00 90.00 90.92
Closest atoms and distances in Å follow each position.
Atoms (fractional coordinates):
Np: 0.0000 0.0000 0.0000  6 O 2.00-2.07
Al: 0.5000 0.5000 0.2616  6 O 1.88-1.97
Al: 0.5000 0.5000 0.7384  6 O 1.88-1.97
Ni: 0.0000 0.0000 0.5000  6 O 2.04
O: 0.2060 0.7940 0.2452  1 Al 1.95, 1 Np 2.00, 1 Ni 2.04
O: 0.2060 0.7940 0.7548  1 Al 1.95, 1 Np 2.00, 1 Ni 2.04
O: 0.3120 0.3120 0.5000  2 Al 1.88, 1 Ni 2.04
O: 0.3166 0.3166 0.0000  2 Al 1.97, 1 Np 2.07
O: 0.6834 0.6834 0.0000  2 Al 1.97, 1 Np 2.07
O: 0.6880 0.6880 0.5000  2 Al 1.88, 1 Ni 2.04
O: 0.7940 0.2060 0.2452  1 Al 1.95, 1 Np 2.00, 1 Ni 2.04
O: 0.7940 0.2060 0.7548  1 Al 1.95, 1 Np 2.00, 1 Ni 2.04